1.
A relaxed RbTl4Au crystal, computed with GGA-PBE.

* V: 195.2 Å³/f.u.
* energy of formation: -0.113 eV per atom
* VASP energy: -2.3978 eV/atom

```
12
Lattice="4.429 0.000 0.000 0.000 9.199 0.000 0.000 0.000 9.581" Properties=species:S:1:pos:R:3 pbc="T T T"
Rb 0.000 3.754 2.395
Rb 0.000 5.445 7.186
Tl 0.000 0.000 4.790
Tl 2.215 6.509 4.217
Tl 2.215 6.509 0.573
Tl 2.215 2.691 9.007
Tl 0.000 0.000 0.000
Tl 2.215 0.645 2.395
Tl 2.215 2.691 5.364
Tl 2.215 8.554 7.186
Au 0.000 7.408 2.395
Au 0.000 1.792 7.186
```

2.
A relaxed GeP3H crystal, computed with GGA-PBE.

* V: 107.3 Å³/f.u.
* VASP energy: -3.3187 eV/atom
* energy above the most stable polymorph in this dataset: 16.32 kcal/mol of atoms

```
5
Lattice="-2.668 2.775 2.788 -2.641 -3.760 1.215 2.915 -0.867 3.652" Properties=species:S:1:pos:R:3 pbc="T T T"
Ge 0.000 0.000 0.000
P 1.458 -0.433 1.826
P -1.320 -1.880 0.608
P -1.334 1.387 1.394
H -1.197 -0.926 3.828
```

3.
A relaxed Mn2SbRh crystal, computed with GGA-PBE.

* E_form (uncorrected): 0.261 eV/atom
* V: 69.0 Å³/f.u.
* VASP energy: -7.1921 eV/atom

```
8
Lattice="7.188 0.000 0.000 0.000 7.188 0.000 3.594 3.594 2.671" Properties=species:S:1:pos:R:3 pbc="T T T"
Mn 8.985 8.866 2.003
Mn 5.391 5.510 2.003
Mn 5.272 1.797 0.668
Mn 1.916 5.391 0.668
Rh 3.594 3.594 0.000
Rh 3.594 7.188 1.335
Sb 0.000 0.000 0.000
Sb 7.188 3.594 1.335
```

4.
A relaxed Hg4Bi5N2 crystal, computed with GGA-PBE.

* E_form (uncorrected): 0.435 eV/atom
* V: 289.8 Å³/f.u.
* VASP energy: -2.9527 eV/atom

```
11
Lattice="1.715 14.745 -0.580 -1.715 14.745 -0.580 0.000 2.770 5.621" Properties=species:S:1:pos:R:3 pbc="T T T"
Bi 0.000 7.831 5.323
Bi 0.000 24.429 -0.862
Bi 0.000 14.745 -0.580
Bi 0.000 4.765 3.479
Bi 0.000 27.495 0.982
Hg 0.000 22.186 1.341
Hg 0.000 10.074 3.120
Hg 0.000 29.960 2.858
Hg 0.000 2.300 1.603
N 0.000 10.870 0.621
N 0.000 21.390 3.840
```

5.
A relaxed CaLa3Tc crystal, computed with GGA-PBE.

* V: 180.9 Å³/f.u.
* energy of formation: -0.011 eV per atom
* VASP energy: -5.4411 eV/atom
* energy above the most stable polymorph in this dataset: 0.11 kcal/mol of atoms

```
10
Lattice="6.912 -0.009 0.004 2.225 7.667 0.021 0.001 4.154 6.836" Properties=species:S:1:pos:R:3 pbc="T T T"
La 5.324 8.818 5.132
La 4.262 4.940 5.143
La 0.816 5.992 6.774
La 1.818 7.790 3.412
La 0.816 3.978 3.459
La 5.324 6.736 1.706
Ca 4.227 2.894 1.706
Ca 1.881 9.836 6.849
Tc 4.560 11.175 6.035
Tc 6.596 6.565 4.156
```

6.
A relaxed K3HS3O11 crystal, computed with GGA-PBE.

* V: 280.2 Å³/f.u.
* VASP energy: -5.7186 eV/atom

```
72
Lattice="8.239 0.000 0.000 0.000 9.935 0.019 0.000 -1.570 13.687" Properties=species:S:1:pos:R:3 pbc="T T T"
K 3.145 5.173 11.172
K 5.094 3.192 2.534
K 1.146 1.808 2.340
K 5.266 1.590 11.356
K 3.453 1.762 7.661
K 2.973 6.776 2.350
K 4.786 6.604 6.045
K 7.092 6.557 11.366
K 7.264 8.160 2.544
K 7.572 1.636 6.036
K 0.667 6.729 7.671
K 0.975 0.206 11.162
O 1.723 4.181 13.546
O 0.747 1.913 13.678
O 3.373 6.881 13.687
O 3.380 0.109 5.313
O 3.536 -0.263 9.959
O 1.361 2.490 9.232
O 5.176 3.592 9.364
O 5.368 4.395 12.626
O 7.736 2.664 10.799
O 7.182 8.560 9.374
O 3.616 0.734 2.898
O 6.516 4.184 0.160
O 2.871 3.970 1.080
O 1.387 7.310 12.326
O 0.503 5.701 2.907
O 2.396 -0.786 13.536
O 4.703 8.629 3.747
O 5.843 9.152 0.170
O 6.026 0.534 8.340
O 2.758 7.457 9.242
O 5.614 3.610 6.951
O 6.332 5.502 8.350
O 1.907 2.864 5.356
O 3.063 4.773 4.342
O 1.249 8.938 1.089
O 0.739 5.076 5.323
O 1.494 -0.212 6.745
O 1.057 -0.194 4.332
O 5.481 0.908 4.464
O 4.622 7.632 10.808
O 2.732 2.343 12.317
O 6.878 5.876 4.474
O 5.507 6.023 1.389
O 7.500 3.289 8.384
O 0.583 4.704 9.969
O 7.656 3.661 3.738
O 6.990 -0.572 12.617
O 6.744 8.577 6.961
O 7.492 6.452 0.028
O 4.859 8.257 8.393
O 4.866 1.485 0.019
O 2.625 4.756 6.755
O 6.851 1.055 1.380
O 2.213 7.832 5.366
H 4.842 8.959 0.078
H 0.723 4.374 13.638
H 7.516 3.991 0.068
H 3.397 -0.593 13.629
S 2.222 4.286 5.434
S 6.017 4.079 8.272
S 6.167 0.781 0.116
S 3.863 8.264 9.740
S 4.376 0.101 3.967
S 7.983 5.069 3.976
S 2.047 2.617 13.581
S 0.256 3.297 9.730
S 6.341 -0.888 8.262
S 2.072 7.585 13.590
S 1.898 9.254 5.444
S 6.192 5.748 0.126
```

7.
A relaxed InTeO2 crystal, computed with GGA-PBE.

* E_form (uncorrected): -0.571 eV/atom
* V: 74.8 Å³/f.u.
* VASP energy: -4.5202 eV/atom
* energy above the most stable polymorph in this dataset: 10.85 kcal/mol of atoms

```
8
Lattice="-2.352 4.080 3.179 -5.111 -2.370 -0.741 -3.084 -1.726 5.011" Properties=species:S:1:pos:R:3 pbc="T T T"
O -5.463 -0.816 4.622
O -8.492 0.364 5.943
O -2.718 1.541 2.928
O -4.421 -1.122 1.406
In -5.963 -1.621 2.745
In -3.731 0.855 1.219
Te 0.000 0.000 0.000
Te -4.584 1.604 4.704
```

8.
A relaxed MnSnSbI2 crystal, computed with GGA-PBE.

* E_form (uncorrected): 0.251 eV/atom
* V: 162.4 Å³/f.u.
* VASP energy: -3.8278 eV/atom
* energy above the most stable polymorph in this dataset: 0.00 kcal/mol of atoms

```
5
Lattice="5.421 0.000 0.000 0.000 5.421 0.000 0.000 0.000 5.524" Properties=species:S:1:pos:R:3 pbc="T T T"
Sn 2.711 2.711 2.762
Mn 0.000 0.000 0.000
Sb 0.000 0.000 2.762
I 2.711 0.000 0.000
I 0.000 2.711 0.000
```